[1]
8
Lattice="2.6310 1.5190 8.6231 -2.6310 1.5190 8.6231 0.0000 -3.0381 8.6231" Properties=species:S:1:pos:R:3 comment="Pm4GaHgAu2 PBE optimized geometry" total_magnetization_mub_per_fu=0.1 total_energy_ev_per_atom=-4.23 formation_enthalpy_0k_ev_per_atom=-0.62 pbc="T T T"
Pm 0.0000 0.0000 3.1576
Pm 0.0000 0.0000 9.6281
Pm 0.0000 0.0000 16.2412
Pm 0.0000 0.0000 22.7117
Ga 0.0000 0.0000 0.0000
Hg 0.0000 0.0000 12.9346
Au 0.0000 0.0000 6.4139
Au 0.0000 0.0000 19.4554



[2]
6
Lattice="1.6424 -6.3611 0.0000 1.6424 6.3611 0.0000 0.0000 0.0000 4.2818" Properties=species:S:1:pos:R:3 comment="CuW2 PBE optimized geometry" relative_energy_ev_per_fu=0.082 total_magnetization_mub_per_fu=0.0 total_energy_ev_per_atom=-9.66 formation_enthalpy_0k_ev_per_atom=0.34 pbc="T T T"
Cu 1.6424 5.1576 3.2113
Cu 1.6424 -5.1576 1.0704
W 1.6424 3.3196 1.0704
W 1.6424 0.9152 3.2113
W 1.6424 -0.9152 1.0704
W 1.6424 -3.3196 3.2113



[3]
8
Lattice="1.9744 -5.9691 0.0000 1.9744 5.9691 0.0000 0.0000 0.0000 9.2900" Properties=species:S:1:pos:R:3 comment="Sm2TmTc PBE optimized geometry" relative_energy_ev_per_fu=0.000 total_magnetization_mub_per_fu=0.0 total_energy_ev_per_atom=-6.12 formation_enthalpy_0k_ev_per_atom=-0.05 pbc="T T T"
Sm 1.9744 4.2871 5.2650
Sm 1.9744 4.2871 8.6700
Sm 1.9744 -4.2871 0.6200
Sm 1.9744 -4.2871 4.0250
Tm 1.9744 0.9061 6.9675
Tm 1.9744 -0.9061 2.3225
Tc 1.9744 3.1231 2.3225
Tc 1.9744 -3.1231 6.9675



[4]
5
Lattice="4.8862 0.0000 0.0000 0.0000 4.8862 0.0000 0.0000 0.0000 5.3096" Properties=species:S:1:pos:R:3 comment="BaCdGa2Os PBE optimized geometry" total_magnetization_mub_per_fu=0.0 total_energy_ev_per_atom=-4.30 formation_enthalpy_0k_ev_per_atom=-0.27 pbc="T T T"
Ba 0.0000 0.0000 0.0000
Cd 2.4431 2.4431 0.0000
Ga 0.0000 2.4431 2.6548
Ga 2.4431 0.0000 2.6548
Os 2.4431 2.4431 2.6548



[5]
7
Lattice="6.7379 -2.0767 0.0000 6.7379 2.0767 0.0000 -5.1089 0.0000 7.3546" Properties=species:S:1:pos:R:3 comment="La4Zn2S PBE optimized geometry" total_magnetization_mub_per_fu=0.0 total_energy_ev_per_atom=-4.50 pbc="T T T"
La -0.7256 0.0000 2.7995
La -0.2390 0.0000 6.7399
La 8.6060 0.0000 0.6147
La 9.0925 0.0000 4.5551
Zn 3.5622 0.0000 2.4099
Zn 4.8048 0.0000 4.9447
S 0.0000 0.0000 0.0000



[6]
10
Lattice="0.0000 5.9029 5.9029 5.9029 0.0000 5.9029 5.9029 5.9029 0.0000" Properties=species:S:1:pos:R:3 comment="Rb2SrFeI6 PBE optimized geometry" total_magnetization_mub_per_fu=0.0 total_energy_ev_per_atom=-3.08 pbc="T T T"
Rb 2.9514 2.9514 2.9514
Rb 8.8543 8.8543 8.8543
Sr 0.0000 0.0000 0.0000
Fe 5.9029 5.9029 5.9029
I 5.9029 5.9029 3.2201
I 5.9029 3.2201 5.9029
I 8.5857 5.9029 5.9029
I 3.2201 5.9029 5.9029
I 5.9029 8.5857 5.9029
I 5.9029 5.9029 8.5857



[7]
12
Lattice="2.8325 1.6353 9.2670 -2.8325 1.6353 9.2670 0.0000 -3.2707 9.2670" Properties=species:S:1:pos:R:3 comment="Ba3NaPd8 PBE optimized geometry" total_magnetization_mub_per_fu=0.0 total_energy_ev_per_atom=-4.54 formation_enthalpy_0k_ev_per_atom=-0.49 pbc="T T T"
Ba 0.0000 0.0000 0.0000
Ba 0.0000 0.0000 3.5518
Ba 0.0000 0.0000 17.1739
Na 0.0000 0.0000 13.7774
Pd 0.0000 -1.6420 6.3068
Pd -1.4220 0.8210 6.3068
Pd -1.4151 -0.8170 10.9895
Pd 0.0000 0.0000 8.6450
Pd 1.4220 0.8210 6.3068
Pd 1.4151 -0.8170 10.9894
Pd 0.0000 1.6340 10.9894
Pd 0.0000 0.0000 22.5536



[8]
9
Lattice="4.0760 0.0000 0.0000 0.0000 2.0106 10.7361 0.0000 -2.0106 10.7361" Properties=species:S:1:pos:R:3 comment="Tb2NiGe6 PBE optimized geometry" total_magnetization_mub_per_fu=0.0 total_energy_ev_per_atom=-5.28 formation_enthalpy_0k_ev_per_atom=-0.53 pbc="T T T"
Tb 0.0000 0.0000 0.0000
Tb 0.0000 0.0000 7.2384
Ni 2.0380 0.0000 11.9908
Ge 0.0000 0.0000 13.2039
Ge 0.0000 0.0000 15.7163
Ge 2.0380 0.0000 2.4798
Ge 2.0380 0.0000 5.0070
Ge 2.0380 0.0000 9.6775
Ge 2.0380 0.0000 18.8294



[9]
12
Lattice="3.6702 -6.3573 0.0000 3.6702 6.3573 0.0000 -2.4468 0.0000 7.9065" Properties=species:S:1:pos:R:3 comment="La6CuIr2Br3 PBE optimized geometry" total_magnetization_mub_per_fu=0.0 total_energy_ev_per_atom=-5.77 pbc="T T T"
La -0.0426 2.1941 6.3407
La 1.1371 0.0000 1.5657
La -0.0426 -2.1941 6.3407
La 4.9361 2.1941 1.5658
La 3.7564 0.0000 6.3408
La 4.9361 -2.1941 1.5658
Cu 3.6702 0.0000 0.0000
Ir 3.6702 4.2380 0.0000
Ir 3.6702 -4.2380 0.0000
Br -1.2234 0.0000 3.9532
Br 2.4468 2.1100 3.9532
Br 2.4468 -2.1100 3.9532



[10]
14
Lattice="4.0178 2.3197 6.6029 -4.0178 2.3197 6.6029 0.0000 -4.6394 6.6029" Properties=species:S:1:pos:R:3 comment="Tb4NdScS8 PBE optimized geometry" total_magnetization_mub_per_fu=0.8 total_energy_ev_per_atom=-6.39 pbc="T T T"
Tb 0.0000 0.0000 0.0000
Tb -1.9543 -1.1283 9.1126
Tb 1.9543 -1.1283 9.1126
Tb 0.0000 2.2566 9.1126
Nd 0.0000 0.0000 12.3185
Sc 0.0000 0.0000 4.9697
S 0.0000 -2.3289 10.6746
S -2.0169 1.1645 10.6746
S 0.0000 0.0000 7.4822
S -1.9005 -1.0973 14.1449
S 0.0000 0.0000 17.1639
S 1.9005 -1.0973 14.1449
S 0.0000 2.1946 14.1449
S 2.0169 1.1645 10.6746



[11]
8
Lattice="5.9193 0.0000 0.0000 0.0000 3.4211 0.0000 -1.9705 0.0000 5.8618" Properties=species:S:1:pos:R:3 comment="Sc4CS2N PBE optimized geometry" total_magnetization_mub_per_fu=0.0 total_energy_ev_per_atom=-8.01 pbc="T T T"
Sc 0.9820 0.0000 1.2232
Sc -0.0054 1.7105 4.6563
Sc 3.9542 1.7105 1.2056
Sc 2.9668 0.0000 4.6387
C 0.0000 1.7105 0.0000
S -0.9852 0.0000 2.9309
S 1.9744 1.7105 2.9309
N 2.9597 0.0000 0.0000



no.,mass density (Mg/m³)
1,9.99
2,16.01
3,8.61
4,7.59
5,5.80
6,4.34
7,8.29
8,7.67
9,6.85
10,4.86
11,3.78